Entry from Alexandria: a relaxed Ga17Sn2 crystal (PBE-GGA).

Lattice parameters (Å, degrees): 7.487 7.487 7.487 75.39 75.39 75.39
Sites, in units of the cell vectors:
Ga (0.288, 0.712, 0.000)
Ga (0.166, 0.596, 0.596)
Ga (0.404, 0.834, 0.404)
Ga (0.500, 0.000, 0.000)
Ga (0.105, 0.105, 0.105)
Ga (0.288, 0.000, 0.712)
Ga (0.000, 0.000, 0.500)
Ga (0.596, 0.166, 0.596)
Sn (0.691, 0.691, 0.691)
Ga (0.596, 0.596, 0.166)
Ga (0.712, 0.288, 0.000)
Sn (0.309, 0.309, 0.309)
Ga (0.000, 0.712, 0.288)
Ga (0.000, 0.500, 0.000)
Ga (0.834, 0.404, 0.404)
Ga (0.712, 0.000, 0.288)
Ga (0.895, 0.895, 0.895)
Ga (0.000, 0.288, 0.712)
Ga (0.404, 0.404, 0.834)

Results
Formation energy from the elements, eV per atom: 0.053
Crystal system: trigonal